Rb2FeO4: optimized geometry, PBE with a Hubbard U.

```
data_Rb2FeO4
_symmetry_space_group_name_H-M 'P 1'
_symmetry_Int_Tables_number 1
_cell_length_a 6.1345
_cell_length_b 8.1437
_cell_length_c 10.8533
_cell_angle_alpha 90.00
_cell_angle_beta 90.00
_cell_angle_gamma 90.00
loop_
_symmetry_equiv_pos_as_xyz
'x,y,z'
loop_
_atom_site_label
_atom_site_type_symbol
_atom_site_fract_x
_atom_site_fract_y
_atom_site_fract_z
_atom_site_occupancy
Rb1 Rb 0.7500 0.0131 0.1950 1
Rb2 Rb 0.2500 0.1653 0.4118 1
Rb3 Rb 0.7500 0.3347 0.9118 1
Rb4 Rb 0.2500 0.4869 0.6950 1
Rb5 Rb 0.7500 0.5131 0.3050 1
Rb6 Rb 0.2500 0.6653 0.0882 1
Rb7 Rb 0.7500 0.8347 0.5882 1
Rb8 Rb 0.2500 0.9869 0.8050 1
Fe1 Fe 0.2500 0.2334 0.0795 1
Fe2 Fe 0.7500 0.2666 0.5795 1
Fe3 Fe 0.2500 0.7334 0.4205 1
Fe4 Fe 0.7500 0.7666 0.9205 1
O1 O 0.2500 0.0302 0.0855 1
O2 O 0.5283 0.1933 0.6487 1
O3 O 0.9717 0.1933 0.6487 1
O4 O 0.7500 0.2021 0.4335 1
O5 O 0.2500 0.2979 0.9335 1
O6 O 0.0283 0.3067 0.1487 1
O7 O 0.4717 0.3067 0.1487 1
O8 O 0.7500 0.4698 0.5855 1
O9 O 0.2500 0.5302 0.4145 1
O10 O 0.5283 0.6933 0.8513 1
O11 O 0.9717 0.6933 0.8513 1
O12 O 0.7500 0.7021 0.0665 1
O13 O 0.2500 0.7979 0.5665 1
O14 O 0.0283 0.8067 0.3513 1
O15 O 0.4717 0.8067 0.3513 1
O16 O 0.7500 0.9698 0.9145 1
```

## Properties
As for the raw total energy: -140.64 eV/cell.